1.
A relaxed structure of Ba2BeP. Source: Alexandria, functional PBE.

Output
Its density of states at the Fermi level is 1.514 states/eV/cell. The calculation puts the distance to the lowest polymorph of the same formula at 0.340 eV/atom. For the calculated formation energy, the calculation gives -38 kJ/mol of formula units. The calculated volume is 30.3 A^3/atom. The total energy comes out at -3.344 eV per atom. The density comes out at 4.30 Mg/m³.

Cell and atoms, written as POSCAR:
```
Ba2BeP
1.0
5.3877 0.0000 0.0000
0.0000 5.3877 0.0000
0.0000 0.0000 4.1819
Ba Be P
2 1 1
Direct
0.0000 0.5000 0.0000
0.5000 0.0000 0.0000
0.0000 0.0000 0.5000
0.5000 0.5000 0.5000
```

2.
A relaxed structure of ZnNi2. Source: Alexandria, functional PBE.

Output
Its density of states at the Fermi level is 7.611 states/eV/cell. For the calculated formation energy, the calculation gives -21 kJ/mol of formula units. The calculated volume is 11.7 A^3/atom. The total energy comes out at -4.352 eV per atom. The density comes out at 8.65 Mg/m³.

Cell and atoms, written as POSCAR:
```
ZnNi2
1.0
1.2874 -2.2322 0.0000
1.2874 2.2322 0.0000
0.0000 0.0000 12.2088
Zn Ni
2 4
Direct
0.0012 0.9988 0.7500
0.9988 0.0012 0.2500
0.3338 0.6662 0.5818
0.3338 0.6662 0.9182
0.6662 0.3338 0.0818
0.6662 0.3338 0.4182
```

3.
A relaxed structure of Sr2CuP3Pt4. Source: Alexandria, functional PBE.

Output
Its density of states at the Fermi level is 4.797 states/eV/cell. For the calculated formation energy, the calculation gives -738 kJ/mol of formula units. The calculated volume is 18.3 A^3/atom. The total energy comes out at -5.550 eV per atom. The density comes out at 10.07 Mg/m³.

Cell and atoms, written as POSCAR:
```
Sr2CuP3Pt4
1.0
4.3485 0.0000 0.0000
0.0000 4.3485 0.0000
0.0000 0.0000 9.6973
Sr Cu P Pt
2 1 3 4
Direct
0.0000 0.5000 0.2437
0.5000 0.0000 0.7563
0.5000 0.5000 0.0000
0.0000 0.0000 0.0000
0.0000 0.5000 0.6286
0.5000 0.0000 0.3714
0.0000 0.0000 0.5000
0.0000 0.5000 0.8737
0.5000 0.0000 0.1263
0.5000 0.5000 0.5000
```